1.
LaSmAgAu | the Alexandria database | PBE-GGA | optimized geometry; symmetry = F-43m; ρ = 9.4 g/cm³; excess energy over the best structure of this formula in the dataset = 0.41 kcal/mol of atoms; total moment = 0.00 μB/f.u.; uncorrected energy = -4.462 eV/atom; formation energy from the elements = -2.07 eV/f.u.
1.0
-1.2640 5.0529 -0.9723
-4.4613 1.1593 -2.6130
-4.0572 2.2548 2.5553
Au La Ag Sm
1 1 1 1
direct
0.2500 0.2500 0.2500 Au
0.5000 0.5000 0.5000 La
0.7500 0.7500 0.7500 Ag
0.0000 0.0000 0.0000 Sm


2.
Al3SbN | the Alexandria database | PBE-GGA | optimized geometry; symmetry = Pm-3m; ρ = 2.5 g/cm³; excess energy over the best structure of this formula in the dataset = 41.41 kcal/mol of atoms; total moment = 0.00 μB/f.u.; uncorrected energy = -2.812 eV/atom
1.0
5.2473 0.0000 0.0000
0.0000 5.2473 0.0000
0.0000 0.0000 5.2473
Al Sb N
3 1 1
direct
0.0000 0.5000 0.0000 Al
0.0000 0.0000 0.5000 Al
0.5000 0.0000 0.0000 Al
0.0000 0.0000 0.0000 Sb
0.5000 0.5000 0.5000 N